# PBE Li2ErAl2Au2, relaxed
data_Li2ErAl2Au2
_cell_length_a 7.837
_cell_length_b 4.519
_cell_length_c 7.568
_cell_angle_alpha 90.00
_cell_angle_beta 109.67
_cell_angle_gamma 90.00
_symmetry_space_group_name_H-M 'C 1 2/m 1'
_symmetry_Int_Tables_number 12
_symmetry_space_group_name_Hall '-C 2y'
loop_
_atom_site_label
_atom_site_type_symbol
_atom_site_fract_x
_atom_site_fract_y
_atom_site_fract_z
Li1 Li 0.142 0.000 0.429
Er1 Er 0.000 0.000 0.000
Al1 Al 0.076 0.500 0.725
Au1 Au 0.237 0.500 0.215
# DOS(E_F) = 4.84 states/eV per cell
# ΔH_f (0 K) = -597.1 meV/atom
# Spin magnetization = 0.00 μB per cell

# PBE Li2ErAlAu4, relaxed
data_Li2ErAlAu4
_cell_length_a 4.5243
_cell_length_b 4.5243
_cell_length_c 24.1258
_cell_angle_alpha 90.00
_cell_angle_beta 90.00
_cell_angle_gamma 120.00
_symmetry_space_group_name_H-M 'R -3 m'
_symmetry_Int_Tables_number 166
_symmetry_space_group_name_Hall '-R 3 2"'
loop_
_atom_site_label
_atom_site_type_symbol
_atom_site_fract_x
_atom_site_fract_y
_atom_site_fract_z
Li1 Li 0.0000 0.0000 0.2443
Er1 Er 0.0000 0.0000 0.0000
Al1 Al 0.0000 0.0000 0.5000
Au1 Au 0.0000 0.0000 0.1297
Au2 Au 0.0000 0.0000 0.3921
# DOS(E_F) = 9.22 states/eV per cell
# ΔH_f (0 K) = -632.3 meV/atom
# Spin magnetization = 0.00 μB per cell

# PBE LiErAl2Au2, relaxed
data_LiErAl2Au2
_cell_length_a 4.4719
_cell_length_b 4.4719
_cell_length_c 6.4218
_cell_angle_alpha 90.00
_cell_angle_beta 90.00
_cell_angle_gamma 120.00
_symmetry_space_group_name_H-M 'P -3 m 1'
_symmetry_Int_Tables_number 164
_symmetry_space_group_name_Hall '-P 3 2"'
loop_
_atom_site_label
_atom_site_type_symbol
_atom_site_fract_x
_atom_site_fract_y
_atom_site_fract_z
Li1 Li 0.0000 0.0000 0.0000
Er1 Er 0.0000 0.0000 0.5000
Al1 Al 0.3333 0.6667 0.8096
Au1 Au 0.3333 0.6667 0.2335
# DOS(E_F) = 3.24 states/eV per cell
# ΔH_f (0 K) = -668.8 meV/atom
# Spin magnetization = 0.00 μB per cell

# PBE LiEr2Al4Au3, relaxed
data_LiEr2Al4Au3
_cell_length_a 4.173
_cell_length_b 4.173
_cell_length_c 11.111
_cell_angle_alpha 90.00
_cell_angle_beta 90.00
_cell_angle_gamma 90.00
_symmetry_space_group_name_H-M 'P -4 m 2'
_symmetry_Int_Tables_number 115
_symmetry_space_group_name_Hall 'P -4 -2'
loop_
_atom_site_label
_atom_site_type_symbol
_atom_site_fract_x
_atom_site_fract_y
_atom_site_fract_z
Li1 Li 0.000 0.000 0.000
Er1 Er 0.000 0.500 0.748
Al1 Al 0.000 0.000 0.500
Al2 Al 0.000 0.500 0.136
Al3 Al 0.500 0.500 0.500
Au1 Au 0.000 0.500 0.361
Au2 Au 0.500 0.500 0.000
# DOS(E_F) = 5.05 states/eV per cell
# ΔH_f (0 K) = -611.5 meV/atom
# Spin magnetization = 0.00 μB per cell

# PBE LiEr2Al3Au4, relaxed
data_LiEr2Al3Au4
_cell_length_a 4.302
_cell_length_b 4.302
_cell_length_c 10.631
_cell_angle_alpha 90.00
_cell_angle_beta 90.00
_cell_angle_gamma 90.00
_symmetry_space_group_name_H-M 'P -4 m 2'
_symmetry_Int_Tables_number 115
_symmetry_space_group_name_Hall 'P -4 -2'
loop_
_atom_site_label
_atom_site_type_symbol
_atom_site_fract_x
_atom_site_fract_y
_atom_site_fract_z
Li1 Li 0.000 0.000 0.000
Er1 Er 0.000 0.500 0.744
Al1 Al 0.000 0.500 0.367
Al2 Al 0.500 0.500 0.000
Au1 Au 0.000 0.000 0.500
Au2 Au 0.000 0.500 0.135
Au3 Au 0.500 0.500 0.500
# DOS(E_F) = 6.14 states/eV per cell
# ΔH_f (0 K) = -632.8 meV/atom
# Spin magnetization = 0.00 μB per cell

# PBE ErLuAlAu, relaxed
data_ErLuAlAu
_cell_length_a 7.143
_cell_length_b 7.143
_cell_length_c 7.143
_cell_angle_alpha 90.00
_cell_angle_beta 90.00
_cell_angle_gamma 90.00
_symmetry_space_group_name_H-M 'F -4 3 m'
_symmetry_Int_Tables_number 216
_symmetry_space_group_name_Hall 'F -4 2 3'
loop_
_atom_site_label
_atom_site_type_symbol
_atom_site_fract_x
_atom_site_fract_y
_atom_site_fract_z
Er1 Er 0.000 0.000 0.000
Lu1 Lu 0.000 0.000 0.500
Al1 Al 0.250 0.250 0.750
Au1 Au 0.250 0.250 0.250
# DOS(E_F) = 6.96 states/eV per cell
# ΔH_f (0 K) = -588.0 meV/atom
# Spin magnetization = 0.00 μB per cell

# PBE ErMgAlAu, relaxed
data_ErMgAlAu
_cell_length_a 6.900
_cell_length_b 6.900
_cell_length_c 6.900
_cell_angle_alpha 90.00
_cell_angle_beta 90.00
_cell_angle_gamma 90.00
_symmetry_space_group_name_H-M 'F -4 3 m'
_symmetry_Int_Tables_number 216
_symmetry_space_group_name_Hall 'F -4 2 3'
loop_
_atom_site_label
_atom_site_type_symbol
_atom_site_fract_x
_atom_site_fract_y
_atom_site_fract_z
Er1 Er 0.000 0.000 0.000
Mg1 Mg 0.000 0.000 0.500
Al1 Al 0.250 0.250 0.750
Au1 Au 0.250 0.250 0.250
# DOS(E_F) = 9.76 states/eV per cell
# ΔH_f (0 K) = -515.1 meV/atom
# Spin magnetization = 0.00 μB per cell

# PBE ErMgAl2Au4, relaxed
data_ErMgAl2Au4
_cell_length_a 4.4881
_cell_length_b 4.4881
_cell_length_c 25.7609
_cell_angle_alpha 90.00
_cell_angle_beta 90.00
_cell_angle_gamma 120.00
_symmetry_space_group_name_H-M 'R -3 m'
_symmetry_Int_Tables_number 166
_symmetry_space_group_name_Hall '-R 3 2"'
loop_
_atom_site_label
_atom_site_type_symbol
_atom_site_fract_x
_atom_site_fract_y
_atom_site_fract_z
Er1 Er 0.0000 0.0000 0.0000
Mg1 Mg 0.0000 0.0000 0.5000
Al1 Al 0.0000 0.0000 0.2435
Au1 Au 0.0000 0.0000 0.1286
Au2 Au 0.0000 0.0000 0.3918
# DOS(E_F) = 12.00 states/eV per cell
# ΔH_f (0 K) = -598.7 meV/atom
# Spin magnetization = 0.00 μB per cell

# PBE ErMgAl2Au2, relaxed
data_ErMgAl2Au2
_cell_length_a 4.5022
_cell_length_b 4.5022
_cell_length_c 6.5633
_cell_angle_alpha 90.00
_cell_angle_beta 90.00
_cell_angle_gamma 120.00
_symmetry_space_group_name_H-M 'P -3 m 1'
_symmetry_Int_Tables_number 164
_symmetry_space_group_name_Hall '-P 3 2"'
loop_
_atom_site_label
_atom_site_type_symbol
_atom_site_fract_x
_atom_site_fract_y
_atom_site_fract_z
Er1 Er 0.0000 0.0000 0.0000
Mg1 Mg 0.0000 0.0000 0.5000
Al1 Al 0.3333 0.6667 0.7213
Au1 Au 0.3333 0.6667 0.2644
# DOS(E_F) = 2.53 states/eV per cell
# ΔH_f (0 K) = -625.2 meV/atom
# Spin magnetization = 0.00 μB per cell

# PBE Er2MgAlAu4, relaxed
data_Er2MgAlAu4
_cell_length_a 4.8427
_cell_length_b 4.8427
_cell_length_c 23.6583
_cell_angle_alpha 90.00
_cell_angle_beta 90.00
_cell_angle_gamma 120.00
_symmetry_space_group_name_H-M 'R -3 m'
_symmetry_Int_Tables_number 166
_symmetry_space_group_name_Hall '-R 3 2"'
loop_
_atom_site_label
_atom_site_type_symbol
_atom_site_fract_x
_atom_site_fract_y
_atom_site_fract_z
Er1 Er 0.0000 0.0000 0.2488
Mg1 Mg 0.0000 0.0000 0.0000
Al1 Al 0.0000 0.0000 0.5000
Au1 Au 0.0000 0.0000 0.1247
Au2 Au 0.0000 0.0000 0.3765
# DOS(E_F) = 9.69 states/eV per cell
# ΔH_f (0 K) = -756.0 meV/atom
# Spin magnetization = 0.00 μB per cell

# PBE NdEr2AlAu4, relaxed
data_NdEr2AlAu4
_cell_length_a 4.9166
_cell_length_b 4.9166
_cell_length_c 25.5508
_cell_angle_alpha 90.00
_cell_angle_beta 90.00
_cell_angle_gamma 120.00
_symmetry_space_group_name_H-M 'R -3 m'
_symmetry_Int_Tables_number 166
_symmetry_space_group_name_Hall '-R 3 2"'
loop_
_atom_site_label
_atom_site_type_symbol
_atom_site_fract_x
_atom_site_fract_y
_atom_site_fract_z
Nd1 Nd 0.0000 0.0000 0.0000
Er1 Er 0.0000 0.0000 0.2397
Al1 Al 0.0000 0.0000 0.5000
Au1 Au 0.0000 0.0000 0.1230
Au2 Au 0.0000 0.0000 0.3923
# DOS(E_F) = 11.25 states/eV per cell
# ΔH_f (0 K) = -742.7 meV/atom
# Spin magnetization = 0.00 μB per cell

# PBE NdErAlAu, relaxed
data_NdErAlAu
_cell_length_a 7.355
_cell_length_b 7.355
_cell_length_c 7.355
_cell_angle_alpha 90.00
_cell_angle_beta 90.00
_cell_angle_gamma 90.00
_symmetry_space_group_name_H-M 'F -4 3 m'
_symmetry_Int_Tables_number 216
_symmetry_space_group_name_Hall 'F -4 2 3'
loop_
_atom_site_label
_atom_site_type_symbol
_atom_site_fract_x
_atom_site_fract_y
_atom_site_fract_z
Nd1 Nd 0.000 0.000 0.000
Er1 Er 0.000 0.000 0.500
Al1 Al 0.250 0.250 0.250
Au1 Au 0.250 0.250 0.750
# DOS(E_F) = 15.47 states/eV per cell
# ΔH_f (0 K) = -519.5 meV/atom
# Spin magnetization = 0.00 μB per cell